Entry 1:
A relaxed structure of PtSe2. Source: the Open Quantum Materials Database, functional PBE.

## Properties
The space group is Fd-3m (227). The volume comes out at 19.4 Å³/atom.

Unit cell a=5.4760 b=5.4760 c=5.4760 alpha=60.00 beta=60.00 gamma=60.00
Fractional coordinates of all 6 atoms:
Pt: 0.0000 0.0000 0.0000
Pt: 0.2500 0.2500 0.2500
Se: 0.6250 0.6250 0.1250
Se: 0.6250 0.1250 0.6250
Se: 0.1250 0.6250 0.6250
Se: 0.6250 0.6250 0.6250

***

Entry 2:
A relaxed structure of PtSe2. Source: the Open Quantum Materials Database, functional PBE.

## Properties
The space group is Amm2 (38). The volume comes out at 22.7 Å³/atom.

Unit cell a=23.4844 b=3.6621 c=3.6621 alpha=60.04 beta=90.00 gamma=90.00
Fractional coordinates of all 12 atoms:
Pt: 0.2401 0.0006 0.0006
Pt: 0.7599 0.0006 0.0006
Pt: 0.0000 0.3334 0.3334
Pt: 0.5000 0.7758 0.7758
Se: 0.4380 0.1099 0.1099
Se: 0.5620 0.1099 0.1099
Se: 0.1822 0.3342 0.3342
Se: 0.8178 0.3342 0.3342
Se: 0.0621 0.6670 0.6670
Se: 0.9379 0.6670 0.6670
Se: 0.2986 0.6670 0.6670
Se: 0.7014 0.6670 0.6670

***

Entry 3:
A relaxed structure of Sn10PtSe10. Source: the Open Quantum Materials Database, functional PBE.

## Properties
The space group is Pbam (55). The volume comes out at 28.0 Å³/atom.

Unit cell a=11.6095 b=8.6209 c=11.7458 alpha=90.00 beta=90.00 gamma=90.00
Fractional coordinates of all 42 atoms:
Pt: 0.5000 0.5000 0.0000
Pt: 0.0000 0.5000 0.5000
Se: 0.8104 0.0000 0.0560
Se: 0.8586 0.5000 0.0912
Se: 0.5116 0.0000 0.1757
Se: 0.1740 0.3055 0.1863
Se: 0.1740 0.6945 0.1863
Se: 0.6740 0.3055 0.3137
Se: 0.6740 0.6945 0.3137
Se: 0.0116 0.0000 0.3243
Se: 0.3586 0.5000 0.4088
Se: 0.3104 0.0000 0.4440
Se: 0.6896 0.0000 0.5560
Se: 0.6414 0.5000 0.5912
Se: 0.9884 0.0000 0.6757
Se: 0.3260 0.3055 0.6863
Se: 0.3260 0.6945 0.6863
Se: 0.8260 0.3055 0.8137
Se: 0.8260 0.6945 0.8137
Se: 0.4884 0.0000 0.8243
Se: 0.1414 0.5000 0.9088
Se: 0.1896 0.0000 0.9440
Sn: 0.0000 0.2529 0.0000
Sn: 0.0000 0.7471 0.0000
Sn: 0.6362 0.2507 0.0841
Sn: 0.6362 0.7493 0.0841
Sn: 0.3576 0.5000 0.1811
Sn: 0.2634 0.0000 0.1827
Sn: 0.7634 0.0000 0.3173
Sn: 0.8576 0.5000 0.3189
Sn: 0.1362 0.2507 0.4159
Sn: 0.1362 0.7493 0.4159
Sn: 0.5000 0.2529 0.5000
Sn: 0.5000 0.7471 0.5000
Sn: 0.8638 0.2507 0.5841
Sn: 0.8638 0.7493 0.5841
Sn: 0.1424 0.5000 0.6811
Sn: 0.2366 0.0000 0.6827
Sn: 0.7366 0.0000 0.8173
Sn: 0.6424 0.5000 0.8189
Sn: 0.3638 0.2507 0.9159
Sn: 0.3638 0.7493 0.9159

***

Entry 4:
A relaxed structure of Sr2ZrPtSe6. Source: the Open Quantum Materials Database, functional PBE.

## Properties
The space group is C2/m (12). For the offset from the most stable computed form, the calculation gives 0.012 eV per atom. The volume comes out at 26.0 Å³/atom.

Unit cell a=7.0826 b=7.0826 c=7.3536 alpha=120.21 beta=120.21 gamma=59.84
Fractional coordinates of all 10 atoms:
Pt: 0.0000 0.0000 0.0000
Se: 0.6963 0.1832 0.1837
Se: 0.1832 0.6963 0.1837
Se: 0.2429 0.2429 0.3409
Se: 0.7571 0.7571 0.6591
Se: 0.8168 0.3037 0.8163
Se: 0.3037 0.8168 0.8163
Sr: 0.7443 0.7443 0.2322
Sr: 0.2557 0.2557 0.7678
Zr: 0.5000 0.5000 0.5000

***

Entry 5:
A relaxed structure of Sr2ZrPtSe6. Source: the Open Quantum Materials Database, functional PBE.

## Properties
The space group is P-1 (2). For the offset from the most stable computed form, the calculation gives 0.000 eV per atom. The volume comes out at 25.8 Å³/atom.

Unit cell a=6.8981 b=6.9275 c=6.9364 alpha=64.48 beta=64.78 gamma=64.24
Fractional coordinates of all 10 atoms:
Pt: 0.0000 0.5000 0.0000
Se: 0.7518 0.8328 0.1540
Se: 0.6662 0.3464 0.2351
Se: 0.1496 0.2631 0.3369
Se: 0.8504 0.7369 0.6631
Se: 0.3338 0.6536 0.7649
Se: 0.2482 0.1672 0.8460
Sr: 0.2424 0.7458 0.2408
Sr: 0.7576 0.2542 0.7592
Zr: 0.5000 0.0000 0.5000

***

Entry 6:
A relaxed structure of Ta2Pt3Se8. Source: the Open Quantum Materials Database, functional PBE.

## Properties
The space group is Pbam (55). The volume comes out at 22.8 Å³/atom.

Unit cell a=15.2103 b=10.8201 c=3.5948 alpha=90.00 beta=90.00 gamma=90.00
Fractional coordinates of all 26 atoms:
Pt: 0.0000 0.0000 0.0000
Pt: 0.7171 0.1280 0.0000
Pt: 0.2171 0.3720 0.0000
Pt: 0.5000 0.5000 0.0000
Pt: 0.7829 0.6280 0.0000
Pt: 0.2829 0.8720 0.0000
Se: 0.1586 0.0408 0.0000
Se: 0.9932 0.2288 0.0000
Se: 0.4932 0.2712 0.0000
Se: 0.6586 0.4592 0.0000
Se: 0.3414 0.5408 0.0000
Se: 0.5068 0.7288 0.0000
Se: 0.0068 0.7712 0.0000
Se: 0.8414 0.9592 0.0000
Se: 0.6181 0.0488 0.5000
Se: 0.2877 0.2468 0.5000
Se: 0.7877 0.2532 0.5000
Se: 0.1181 0.4512 0.5000
Se: 0.8819 0.5488 0.5000
Se: 0.2123 0.7468 0.5000
Se: 0.7123 0.7532 0.5000
Se: 0.3819 0.9512 0.5000
Ta: 0.1195 0.2112 0.5000
Ta: 0.6195 0.2888 0.5000
Ta: 0.3805 0.7112 0.5000
Ta: 0.8805 0.7888 0.5000

***

no.,electronic total energy (eV/atom),magnetization (μB/f.u.)
1,-3.2935,0.000
2,-4.5104,0.001
3,-4.1775,0.002
4,-5.0057,0.002
5,-5.0172,0.002
6,-6.0005,0.000